CaMn2Os2: relaxed, GGA-PBE.

## Properties
Energy above the most stable polymorph in this dataset (meV per atom): 0
Fermi-level density of states (states/eV/cell): 8.79

Structure (CIF):
```
data_CaMn2Os2
_chemical_formula_sum 'Ca2 Mn4 Os4'
_symmetry_space_group_name_H-M 'I 4/m m m'
_symmetry_Int_Tables_number 139
_symmetry_space_group_name_Hall '-I 4 2'
_cell_length_a 4.113
_cell_length_b 4.113
_cell_length_c 9.962
_cell_angle_alpha 90.00
_cell_angle_beta 90.00
_cell_angle_gamma 90.00
loop_
_atom_site_label
_atom_site_fract_x
_atom_site_fract_y
_atom_site_fract_z
Ca1 0.000 0.000 0.000
Mn1 0.000 0.500 0.250
Os1 0.000 0.000 0.374
```

PuSc2: relaxed, GGA-PBE.

## Properties
Energy above the most stable polymorph in this dataset (meV per atom): 24
Fermi-level density of states (states/eV/cell): 16.84

Structure (CIF):
```
data_PuSc2
_chemical_formula_sum 'Pu2 Sc4'
_symmetry_space_group_name_H-M 'I 4/m m m'
_symmetry_Int_Tables_number 139
_symmetry_space_group_name_Hall '-I 4 2'
_cell_length_a 3.261
_cell_length_b 3.261
_cell_length_c 13.940
_cell_angle_alpha 90.00
_cell_angle_beta 90.00
_cell_angle_gamma 90.00
loop_
_atom_site_label
_atom_site_fract_x
_atom_site_fract_y
_atom_site_fract_z
Pu1 0.000 0.000 0.000
Sc1 0.000 0.000 0.334
```

Dy3Cu4Ag2: relaxed, GGA-PBE.

## Properties
Fermi-level density of states (states/eV/cell): 9.26

Structure (CIF):
```
data_Dy3Cu4Ag2
_chemical_formula_sum 'Dy6 Cu8 Ag4'
_symmetry_space_group_name_H-M 'C 1 2/m 1'
_symmetry_Int_Tables_number 12
_cell_length_a 10.440
_cell_length_b 4.429
_cell_length_c 8.370
_cell_angle_alpha 90.00
_cell_angle_beta 113.76
_cell_angle_gamma 90.00
loop_
_symmetry_equiv_pos_as_xyz
'x,y,z'
'-x,-y,-z'
'-x,y,-z'
'x,-y,z'
'x+1/2,y+1/2,z'
'-x+1/2,-y+1/2,-z'
'-x+1/2,y+1/2,-z'
'x+1/2,-y+1/2,z'
loop_
_atom_site_label
_atom_site_fract_x
_atom_site_fract_y
_atom_site_fract_z
Dy1 0.000 0.000 0.000
Dy2 0.152 0.500 0.682
Cu1 0.067 0.000 0.408
Cu2 0.232 0.500 0.053
Ag1 0.136 0.500 0.297
```

SrFe2Cu2: relaxed, GGA-PBE.

## Properties
Fermi-level density of states (states/eV/cell): 10.51

Structure (CIF):
```
data_SrFe2Cu2
_chemical_formula_sum 'Sr2 Fe4 Cu4'
_symmetry_space_group_name_H-M 'I 4/m m m'
_symmetry_Int_Tables_number 139
_symmetry_space_group_name_Hall '-I 4 2'
_cell_length_a 4.251
_cell_length_b 4.251
_cell_length_c 9.859
_cell_angle_alpha 90.00
_cell_angle_beta 90.00
_cell_angle_gamma 90.00
loop_
_atom_site_label
_atom_site_fract_x
_atom_site_fract_y
_atom_site_fract_z
Sr1 0.000 0.000 0.000
Fe1 0.000 0.000 0.382
Cu1 0.000 0.500 0.250
```

YCdRh2: relaxed, GGA-PBE.

## Properties
Fermi-level density of states (states/eV/cell): 8.82

Structure (CIF):
```
data_YCdRh2
_chemical_formula_sum 'Y2 Cd2 Rh4'
_symmetry_space_group_name_H-M 'I m m m'
_symmetry_Int_Tables_number 71
_symmetry_space_group_name_Hall '-I 2 2'
_cell_length_a 3.008
_cell_length_b 5.107
_cell_length_c 10.415
_cell_angle_alpha 90.00
_cell_angle_beta 90.00
_cell_angle_gamma 90.00
loop_
_atom_site_label
_atom_site_fract_x
_atom_site_fract_y
_atom_site_fract_z
Y1 0.000 0.000 0.000
Cd1 0.000 0.000 0.500
Rh1 0.000 0.000 0.248
```

LiNbCd: relaxed, GGA-PBE.

## Properties
Energy above the most stable polymorph in this dataset (meV per atom): 55
Fermi-level density of states (states/eV/cell): 2.96

Structure (CIF):
```
data_LiNbCd
_chemical_formula_sum 'Li2 Nb2 Cd2'
_symmetry_space_group_name_H-M 'P 1'
_symmetry_Int_Tables_number 1
_cell_length_a 2.911
_cell_length_b 5.298
_cell_length_c 7.730
_cell_angle_alpha 104.98
_cell_angle_beta 90.22
_cell_angle_gamma 105.69
loop_
_symmetry_equiv_pos_as_xyz
'x,y,z'
loop_
_atom_site_label
_atom_site_fract_x
_atom_site_fract_y
_atom_site_fract_z
Li1 0.000 0.000 0.000
Li2 0.335 0.666 0.664
Nb1 0.674 0.341 0.336
Nb2 0.947 0.889 0.385
Cd1 0.277 0.550 0.048
Cd2 0.614 0.222 0.715
```

Across the entries above, formation energy from the elements takes the values 231 99 -239 389 346 89 meV/atom, respectively.